Below is crystalline Nb2SnSb at its relaxed geometry, with properties calculated at the GGA-PBE level.

Excess energy over the best structure of this formula in the dataset, eV per formula unit: 0.00
Space-group type: Fm-3m (225)

Cell: 4.8350 4.8350 4.8350 Å, 60.00 60.00 60.00°
With the nearest neighbours (Å) after each atom.
Element x y z (fractional)
Nb1 0.2500 0.2500 0.2500  4 Sn 2.96, 4 Sb 2.96
Nb2 0.7500 0.7500 0.7500  4 Sb 2.96, 4 Sn 2.96
Sn1 0.0000 0.0000 0.0000  8 Nb 2.96
Sb1 0.5000 0.5000 0.5000  8 Nb 2.96


Below is crystalline NbSnSb2 at its relaxed geometry, with properties calculated at the GGA-PBE level.

Space-group type: R-3m (166)

Cell: 3.1554 3.1554 12.0148 Å, 82.45 82.45 60.00°
With the nearest neighbours (Å) after each atom.
Element x y z (fractional)
Sb1 0.0805 0.0805 0.7585  1 Nb 2.87, 6 Sb 3.16
Sb2 0.9195 0.9195 0.2415  1 Nb 2.87, 6 Sb 3.16
Sn1 0.5000 0.5000 0.5000  6 Sn 3.16
Nb1 0.0000 0.0000 0.0000  2 Sb 2.87, 6 Nb 3.16


Below is crystalline NbSn2Sb at its relaxed geometry, with properties calculated at the GGA-PBE level.

Space-group type: C2/c (15)

Cell: 5.5387 5.5608 8.1372 Å, 70.02 80.38 60.73°
With the nearest neighbours (Å) after each atom.
Element x y z (fractional)
Sb1 0.2500 0.1892 0.6217  4 Nb 2.90-2.95
Sb2 0.7500 0.8108 0.3783  4 Nb 2.90-2.95
Nb1 0.7500 0.2559 0.4882  2 Nb 2.81, 4 Sb 2.90-2.95, 4 Sn 2.97-3.06
Nb2 0.2500 0.7441 0.5118  2 Nb 2.81, 4 Sb 2.90-2.95, 4 Sn 2.97-3.06
Sn1 0.0977 0.2390 0.1681  2 Nb 2.97-3.06, 3 Sn 3.09-3.16
Sn2 0.9023 0.7610 0.8319  2 Nb 2.97-3.06, 3 Sn 3.09-3.16
Sn3 0.5977 0.4071 0.8319  2 Nb 2.97-3.06, 3 Sn 3.09-3.16
Sn4 0.4023 0.5929 0.1681  2 Nb 2.97-3.06, 3 Sn 3.09-3.16


Below is crystalline NbSn3Sb at its relaxed geometry, with properties calculated at the GGA-PBE level.

Excess energy over the best structure of this formula in the dataset, eV per formula unit: 4.79
Space-group type: Pm-3m (221)

Cell: 5.5265 5.5265 5.5265 Å, 90.00 90.00 90.00°
With the nearest neighbours (Å) after each atom.
Element x y z (fractional)
Nb1 0.5000 0.5000 0.5000  12 Sn 3.91
Sn1 0.0000 0.5000 0.0000  2 Sb 2.76
Sn2 0.5000 0.0000 0.0000  2 Sb 2.76
Sn3 0.0000 0.0000 0.5000  2 Sb 2.76
Sb1 0.0000 0.0000 0.0000  6 Sn 2.76


Below is crystalline NbSn2Sb2 at its relaxed geometry, with properties calculated at the GGA-PBE level.

Space-group type: P4/mbm (127)

Cell: 7.3659 7.3659 4.8696 Å, 90.00 90.00 90.00°
With the nearest neighbours (Å) after each atom.
Element x y z (fractional)
Sb1 0.6504 0.1504 0.0000  2 Nb 2.80, 2 Sn 3.12, 1 Sb 3.13
Sb2 0.8496 0.6504 0.0000  2 Nb 2.80, 2 Sn 3.12, 1 Sb 3.13
Sb3 0.3496 0.8496 0.0000  2 Nb 2.80, 2 Sn 3.12, 1 Sb 3.13
Sb4 0.1504 0.3496 0.0000  2 Nb 2.80, 2 Sn 3.12, 1 Sb 3.13
Nb1 0.5000 0.5000 0.0000  4 Sb 2.80
Nb2 0.0000 0.0000 0.0000  4 Sb 2.80
Sn1 0.3375 0.1625 0.5000  6 Sb 3.12-3.35, 1 Sn 3.39
Sn2 0.8375 0.3375 0.5000  6 Sb 3.12-3.35, 1 Sn 3.39
Sn3 0.1625 0.6625 0.5000  6 Sb 3.12-3.35, 1 Sn 3.39
Sn4 0.6625 0.8375 0.5000  6 Sb 3.12-3.35, 1 Sn 3.39


Below is crystalline NbSn3Sb at its relaxed geometry, with properties calculated at the GGA-PBE level.

Excess energy over the best structure of this formula in the dataset, eV per formula unit: 0.00
Space-group type: Pm-3m (221)

Cell: 5.4122 5.4122 5.4122 Å, 90.00 90.00 90.00°
With the nearest neighbours (Å) after each atom.
Element x y z (fractional)
Sn1 0.0000 0.5000 0.0000  2 Nb 2.71
Sn2 0.0000 0.0000 0.5000  2 Nb 2.71
Sn3 0.5000 0.0000 0.0000  2 Nb 2.71
Nb1 0.0000 0.0000 0.0000  6 Sn 2.71
Sb1 0.5000 0.5000 0.5000  12 Sn 3.83


Number 1: raw formation energy 0.0245 eV/atom. Number 2: raw formation energy 0.4923 eV/atom. Number 3: raw formation energy 0.0424 eV/atom. Number 4: raw formation energy 1.4844 eV/atom. Number 5: raw formation energy 0.2627 eV/atom. Number 6: raw formation energy 0.5270 eV/atom.